The following is a DFT calculation (PBE) of an optimized crystal structure of NdSi3Ru2.

```
data_NdSi3Ru2
_space_group_name_H-M_alt 'P 1'
_space_group_IT_number 1
_space_group_name_Hall 'P 1'
_cell_length_a 5.612
_cell_length_b 6.070
_cell_length_c 6.070
_cell_angle_alpha 104.17
_cell_angle_beta 90.00
_cell_angle_gamma 90.00
loop_
_atom_site_label
_atom_site_type_symbol
_atom_site_fract_x
_atom_site_fract_y
_atom_site_fract_z
Nd1 Nd 0.250 0.339 0.339
Nd2 Nd 0.750 0.661 0.661
Si1 Si 0.750 0.468 0.107
Si2 Si 0.750 0.107 0.468
Si3 Si 0.250 0.532 0.893
Si4 Si 0.750 0.065 0.065
Si5 Si 0.250 0.935 0.935
Si6 Si 0.250 0.893 0.532
Ru1 Ru 0.500 0.798 0.202
Ru2 Ru 0.000 0.798 0.202
Ru3 Ru 0.000 0.202 0.798
Ru4 Ru 0.500 0.202 0.798
```

Output
For the mass density, the calculation gives 7.1 g cm⁻³. As for the symmetry: Cmcm, No. 63. The value obtained for the uncorrected formation energy is -707.2 meV per atom. For the total energy, the calculation gives -7.31 eV/atom.